Entry 1:
{"formula": "La2SbF2", "functional": "PBE-GGA", "state": "relaxed", "e_tot_ev_per_atom": -6.218, "crystal_system": "tetragonal", "magnetic_moment_mub_per_atom": 0.182, "formation_energy_uncorrected_mev_per_atom": -2674.2, "cell": [[-3.165, 2.197, -1.419], [-2.393, -1.534, 2.963], [-1.063, 5.388, 4.776]], "species": ["Sb", "F", "F", "La", "La"], "fractional_positions": [[0.000, 0.000, 0.000], [0.750, 0.250, 0.500], [0.250, 0.750, 0.500], [0.367, 0.367, 0.265], [0.633, 0.633, 0.735]]}


Entry 2:
{"formula": "Pm5Dy3Tm", "functional": "PBE-GGA", "state": "relaxed", "ef_ev_per_atom": 0.312, "e_tot_ev_per_atom": -4.358, "crystal_system": "tetragonal", "magnetic_moment_mub_per_atom": 0.000, "e_above_lowest_polymorph_kj_per_mol_atoms": 13.69, "cell": [[-3.290, 7.089, 4.975], [-1.891, -5.782, 6.987], [9.089, 0.474, -3.290]], "species": ["Pm", "Pm", "Pm", "Pm", "Pm", "Pm", "Pm", "Pm", "Pm", "Pm", "Dy", "Dy", "Dy", "Dy", "Dy", "Dy", "Tm", "Tm"], "fractional_positions": [[0.070, 0.570, 0.735], [0.665, 0.165, 0.735], [0.165, 0.070, 0.735], [0.570, 0.665, 0.735], [0.930, 0.430, 0.265], [0.335, 0.835, 0.265], [0.835, 0.930, 0.265], [0.430, 0.335, 0.265], [0.500, 0.500, 0.000], [0.000, 0.000, 0.000], [0.610, 0.110, 0.000], [0.390, 0.890, 0.000], [0.890, 0.610, 0.000], [0.110, 0.390, 0.000], [0.250, 0.250, 0.500], [0.750, 0.750, 0.500], [0.750, 0.250, 0.500], [0.250, 0.750, 0.500]]}